## Sc2SbCl (GGA-PBEsol)

Data for a relaxed Sc2SbCl crystal.

Properties
For the uncorrected formation energy, the calculation gives -0.97 eV/atom. As for the spin magnetization: 0.093 μB/atom. As for the crystal system: orthorhombic.

Lattice parameters (Å, degrees): 6.8963 6.8963 6.8963 150.99 147.82 43.87
Positions (direct):
Sc (0.0000, 0.0000, 0.0000)
Sc (0.7354, 0.2354, 0.5000)
Sb (0.3358, 0.8358, 0.5000)
Cl (0.5797, 0.5797, 0.0000)